Entry 1:
Below is a relaxed structure of PmEr3Tl4, with properties calculated at the PBE level.

## Properties
E above lowest polymorph	0.000	eV per atom
symmetry	P4/mmm, No. 123
DOS(E_F)	12.8	states/eV per cell
volume	438	Å³/cell

Cell and atoms, written as POSCAR:
```
PmEr3Tl4
1.0
5.395 0.000 0.000
0.000 7.529 0.000
0.000 0.000 10.793
Tl Er Pm
8 6 2
direct
0.000 0.756 0.250
0.500 0.756 0.000
0.000 0.756 0.750
0.000 0.244 0.750
0.500 0.244 0.000
0.500 0.244 0.500
0.500 0.756 0.500
0.000 0.244 0.250
0.500 0.500 0.250
0.000 0.000 0.000
0.500 0.000 0.750
0.500 0.500 0.750
0.500 0.000 0.250
0.000 0.000 0.500
0.000 0.500 0.500
0.000 0.500 0.000
```



Entry 2:
Below is a relaxed structure of La2NdIr, with properties calculated at the PBE level.

## Properties
E above lowest polymorph	0.186	eV per atom
symmetry	P4/mmm, No. 123
DOS(E_F)	5.6	states/eV per cell
volume	124	Å³/cell

Cell and atoms, written as POSCAR:
```
La2NdIr
1.0
-0.545 -2.865 -2.186
-1.837 -1.681 2.661
-7.910 3.827 -3.043
La Nd Ir
2 1 1
direct
0.000 0.000 0.180
0.000 0.000 0.820
0.500 0.500 0.500
0.500 0.500 0.000
```



Entry 3:
Below is a relaxed structure of CdHg4Pb10, with properties calculated at the PBE level.

## Properties
symmetry	I4/m, No. 87
E_tot	-0.186	Ry/atom
DOS(E_F)	8.8	states/eV per cell
volume	486	Å³/cell

Cell and atoms, written as POSCAR:
```
CdHg4Pb10
1.0
-4.928 -2.802 -4.769
-1.767 -8.652 1.155
-8.471 0.505 2.702
Hg Cd Pb
4 1 10
direct
0.800 0.601 0.798
0.402 0.798 0.399
0.200 0.399 0.202
0.598 0.202 0.601
0.000 0.000 0.000
0.351 0.699 0.098
0.950 0.902 0.699
0.551 0.098 0.301
0.050 0.098 0.301
0.449 0.902 0.699
0.250 0.500 0.500
0.852 0.699 0.098
0.649 0.301 0.902
0.750 0.500 0.500
0.148 0.301 0.902
```



Q: Among the records above, which one has the lowest DOS(E_F)?
A: La2NdIr



Q: What is the DOS(E_F) in the second record?
A: 5.6 states/eV per cell



Q: Number 1 is which compound?
A: PmEr3Tl4